Record 1
# RbNaHo2Cl8

Crystalline RbNaHo2Cl8 at its relaxed geometry (PBE-GGA, the Alexandria database).

Total magnetic moment (μB/cell): 0.0
Energy (eV per cell): -51.8

a b c (Å): 6.7812 8.2859 6.9974
angles (deg): 90.00 94.38 90.00
Space group P2/m (No. 10)
Asymmetric unit:
1 Rb 0.0000 0.0000 0.0000 x1
2 Na 0.0000 0.5000 0.0000 x1
3 Ho 0.5000 0.2561 0.5000 x2
4 Cl 0.2473 0.2761 0.2060 x4
5 Cl 0.3028 0.5000 0.6559 x2
6 Cl 0.3106 0.0000 0.6445 x2

Record 2
# RbNaHoCl5

Crystalline RbNaHoCl5 at its relaxed geometry (PBE-GGA, the Alexandria database).

Total magnetic moment (μB/cell): 0.0
Energy (eV per cell): -131.5

a b c (Å): 8.9834 12.8073 10.2388
angles (deg): 90.00 111.86 90.00
Space group C2/c (No. 15)
Asymmetric unit:
1 Rb 0.0000 0.1645 0.2500 x4
2 Na 0.0000 0.1879 0.7500 x4
3 Ho 0.0000 0.5000 0.0000 x4
4 Cl 0.0000 0.4382 0.2500 x4
5 Cl 0.0958 0.3086 0.5833 x8
6 Cl 0.1985 0.0518 0.9308 x8

Record 3
# NaHoScCl6

Crystalline NaHoScCl6 at its relaxed geometry (PBE-GGA, the Alexandria database).

Total magnetic moment (μB/cell): 2.1
Energy (eV per cell): -82.9

a b c (Å): 6.6345 6.6345 12.8596
angles (deg): 90.00 90.00 120.00
Space group P-31c (No. 163)
Asymmetric unit:
1 Na 0.0000 0.0000 0.0000 x2
2 Ho 0.3333 0.6667 0.2500 x2
3 Sc 0.3333 0.6667 0.7500 x2
4 Cl 0.0071 0.3535 0.6337 x12

Record 4
# NaHoSnCl6

Crystalline NaHoSnCl6 at its relaxed geometry (PBE-GGA, the Alexandria database).

Total magnetic moment (μB/cell): 0.0
Energy (eV per cell): -73.4

a b c (Å): 6.9810 6.9810 12.3439
angles (deg): 90.00 90.00 120.00
Space group P-31c (No. 163)
Asymmetric unit:
1 Na 0.3333 0.6667 0.2500 x2
2 Ho 0.3333 0.6667 0.7500 x2
3 Sn 0.0000 0.0000 0.0000 x2
4 Cl 0.0199 0.3549 0.6290 x12

Record 5
# NaHoSn2Cl8

Crystalline NaHoSn2Cl8 at its relaxed geometry (PBE-GGA, the Alexandria database).

Total magnetic moment (μB/cell): 0.0
Energy (eV per cell): -47.3

a b c (Å): 6.4875 6.7377 8.3890
angles (deg): 89.97 89.99 88.75
Space group P-1 (No. 2)
Asymmetric unit:
1 Na 0.0000 0.0000 0.0000 x1
2 Ho 0.0000 0.0000 0.5000 x1
3 Sn 0.4998 0.4996 0.2457 x2
4 Cl 0.2212 0.8396 0.2652 x2
5 Cl 0.2220 0.8405 0.7348 x2
6 Cl 0.2407 0.3112 0.4993 x2
7 Cl 0.2820 0.3377 0.0006 x2

Record 6
# NaSrHoCl6

Crystalline NaSrHoCl6 at its relaxed geometry (PBE-GGA, the Alexandria database).

Total magnetic moment (μB/cell): 0.0
Energy (eV per cell): -77.6

a b c (Å): 7.1901 7.1901 12.2595
angles (deg): 90.00 90.00 120.00
Space group P-31c (No. 163)
Asymmetric unit:
1 Na 0.0000 0.0000 0.0000 x2
2 Sr 0.3333 0.6667 0.2500 x2
3 Ho 0.3333 0.6667 0.7500 x2
4 Cl 0.0286 0.3623 0.6290 x12

Record 7
# NaSr2HoCl8

Crystalline NaSr2HoCl8 at its relaxed geometry (PBE-GGA, the Alexandria database).

Total magnetic moment (μB/cell): 0.0
Energy (eV per cell): -51.5

a b c (Å): 6.5408 8.7811 6.6166
angles (deg): 90.00 90.82 90.00
Space group P2/m (No. 10)
Asymmetric unit:
1 Na 0.0000 0.0000 0.0000 x1
2 Sr 0.5000 0.2448 0.5000 x2
3 Ho 0.0000 0.5000 0.0000 x1
4 Cl 0.1999 0.2772 0.8226 x4
5 Cl 0.2768 0.5000 0.3017 x2
6 Cl 0.2877 0.0000 0.3085 x2

Record 8
# NaHoTl2Cl6

Crystalline NaHoTl2Cl6 at its relaxed geometry (PBE-GGA, the Alexandria database).

Total magnetic moment (μB/cell): 0.0
Energy (eV per cell): -77.8

a b c (Å): 7.3628 7.6742 12.8418
angles (deg): 90.00 124.61 90.00
Space group P2_1/c (No. 14)
Asymmetric unit:
1 Na 0.0000 0.0000 0.0000 x2
2 Ho 0.5000 0.0000 0.5000 x2
3 Tl 0.2307 0.0646 0.7486 x4
4 Cl 0.1669 0.1924 0.4572 x4
5 Cl 0.2653 0.7147 0.4551 x4
6 Cl 0.3464 0.0213 0.2583 x4

Record 9
# HoNbCl

Crystalline HoNbCl at its relaxed geometry (PBE-GGA, the Alexandria database).

Total magnetic moment (μB/cell): 0.0
Energy (eV per cell): -35.4

a b c (Å): 3.2503 3.2556 15.6982
angles (deg): 84.85 84.98 62.34
Space group P-1 (No. 2)
Asymmetric unit:
1 Ho 0.1886 0.1871 0.3971 x2
2 Nb 0.4134 0.4092 0.7681 x2
3 Cl 0.2764 0.2817 0.1242 x2

Record 10
# NdHoCl2

Crystalline NdHoCl2 at its relaxed geometry (PBE-GGA, the Alexandria database).

Total magnetic moment (μB/cell): 0.0
Energy (eV per cell): -55.1

a b c (Å): 3.6399 3.6399 28.5694
angles (deg): 90.00 90.00 120.00
Space group R-3m (No. 166, hexagonal axes)
Asymmetric unit:
1 Nd 0.0000 0.0000 0.0000 x3
2 Ho 0.0000 0.0000 0.5000 x3
3 Cl 0.0000 0.0000 0.4060 x6

Record 11
# NdHoCl3

Crystalline NdHoCl3 at its relaxed geometry (PBE-GGA, the Alexandria database).

Total magnetic moment (μB/cell): 0.0
Energy (eV per cell): -96.2

a b c (Å): 16.1703 3.8790 10.7600
angles (deg): 90.00 120.18 90.00
Space group C2/m (No. 12)
Asymmetric unit:
1 Nd 0.1405 0.0000 0.2911 x4
2 Ho 0.0835 0.5000 0.9539 x4
3 Cl 0.0473 0.0000 0.7534 x4
4 Cl 0.1578 0.5000 0.5077 x4
5 Cl 0.2203 0.0000 0.1119 x4

Record 12
# Nd2HoCl

Crystalline Nd2HoCl at its relaxed geometry (PBE-GGA, the Alexandria database).

Total magnetic moment (μB/cell): 0.0
Energy (eV per cell): -55.9

a b c (Å): 3.6643 3.6643 31.0034
angles (deg): 90.00 90.00 120.00
Space group R-3m (No. 166, hexagonal axes)
Asymmetric unit:
1 Nd 0.0000 0.0000 0.2400 x6
2 Ho 0.0000 0.0000 0.0000 x3
3 Cl 0.0000 0.0000 0.5000 x3

Record 13
# Ho2NiCl2

Crystalline Ho2NiCl2 at its relaxed geometry (PBE-GGA, the Alexandria database).

Total magnetic moment (μB/cell): 0.0
Energy (eV per cell): -76.0

a b c (Å): 3.7933 3.7933 31.0038
angles (deg): 90.00 90.00 120.00
Space group R-3m (No. 166, hexagonal axes)
Asymmetric unit:
1 Ho 0.0000 0.0000 0.1146 x6
2 Ni 0.0000 0.0000 0.5000 x3
3 Cl 0.0000 0.0000 0.2755 x6

Record 14
# RbHoNiCl6

Crystalline RbHoNiCl6 at its relaxed geometry (PBE-GGA, the Alexandria database).

Total magnetic moment (μB/cell): 2.1
Energy (eV per cell): -37.3

a b c (Å): 6.6035 6.6035 7.4039
angles (deg): 90.00 90.00 120.00
Space group P312 (No. 149)
Asymmetric unit:
1 Rb 0.0000 0.0000 0.0000 x1
2 Ho 0.3333 0.6667 0.5000 x1
3 Ni 0.6667 0.3333 0.5000 x1
4 Cl 0.3829 0.0233 0.6946 x6

Record 15
# Ho3NiTeCl

Crystalline Ho3NiTeCl at its relaxed geometry (PBE-GGA, the Alexandria database).

Total magnetic moment (μB/cell): 0.0
Energy (eV per cell): -60.6

a b c (Å): 8.3628 4.0186 9.6648
angles (deg): 90.00 96.96 90.00
Space group P2_1/m (No. 11)
Asymmetric unit:
1 Ho 0.1322 0.2500 0.3201 x2
2 Ho 0.1416 0.2500 0.8986 x2
3 Ho 0.2960 0.7500 0.6167 x2
4 Ni 0.0565 0.2500 0.5976 x2
5 Te 0.4121 0.7500 0.3175 x2
6 Cl 0.3551 0.7500 0.9138 x2

Record 16
# HoNpCl6

Crystalline HoNpCl6 at its relaxed geometry (PBE-GGA, the Alexandria database).

Total magnetic moment (μB/cell): 8.0
Energy (eV per cell): -88.7

a b c (Å): 6.8027 12.3634 6.6801
angles (deg): 90.00 105.81 90.00
Space group C2/m (No. 12)
Asymmetric unit:
1 Ho 0.0000 0.0000 0.0000 x2
2 Np 0.0000 0.5000 0.5000 x2
3 Cl 0.2399 0.1435 0.2428 x8
4 Cl 0.2444 0.0000 0.7531 x4

Record 17
# Ho3NpCl2O6

Crystalline Ho3NpCl2O6 at its relaxed geometry (PBE-GGA, the Alexandria database).

Total magnetic moment (μB/cell): 4.0
Energy (eV per cell): -189.9

a b c (Å): 12.0057 6.7226 5.4194
angles (deg): 90.00 101.79 90.00
Space group C2/m (No. 12)
Asymmetric unit:
1 Ho 0.0000 0.0000 0.0000 x2
2 Ho 0.2500 0.2500 0.5000 x4
3 Np 0.0000 0.5000 0.5000 x2
4 Cl 0.1967 0.0000 0.8372 x4
5 O 0.0664 0.2502 0.2909 x8
6 O 0.1742 0.5000 0.6647 x4

Record 18
# HoClO

Crystalline HoClO at its relaxed geometry (PBE-GGA, the Alexandria database).

Total magnetic moment (μB/cell): 0.0
Energy (eV per cell): -20.2

a b c (Å): 3.6422 3.6422 5.5560
angles (deg): 90.00 90.00 120.00
Space group P3m1 (No. 156)
Asymmetric unit:
1 Ho 0.0000 0.0000 0.0000 x1
2 Cl 0.3333 0.6667 0.6680 x1
3 O 0.6667 0.3333 0.1059 x1

Record 19
# Ho2Cl3O

Crystalline Ho2Cl3O at its relaxed geometry (PBE-GGA, the Alexandria database).

Total magnetic moment (μB/cell): 0.0
Energy (eV per cell): -140.2

a b c (Å): 16.1793 3.8759 10.5048
angles (deg): 90.00 121.68 90.00
Space group C2/m (No. 12)
Asymmetric unit:
1 Ho 0.0799 0.0000 0.4547 x4
2 Ho 0.1347 0.5000 0.7861 x4
3 Cl 0.0417 0.5000 0.2394 x4
4 Cl 0.1670 0.0000 0.0109 x4
5 Cl 0.2220 0.5000 0.6153 x4
6 O 0.0836 0.0000 0.6707 x4

Record 20
# HoClO

Crystalline HoClO at its relaxed geometry (PBE-GGA, the Alexandria database).

Total magnetic moment (μB/cell): 0.0
Energy (eV per cell): -41.2

a b c (Å): 3.7790 3.7790 8.0871
angles (deg): 90.00 90.00 90.00
Space group P4/nmm (No. 129, origin choice 2)
Asymmetric unit:
1 Ho 0.2500 0.2500 0.1426 x2
2 Cl 0.2500 0.2500 0.6742 x2
3 O 0.2500 0.7500 0.0000 x2

Record 21
# HoClO

Crystalline HoClO at its relaxed geometry (PBE-GGA, the Alexandria database).

Total magnetic moment (μB/cell): 0.0
Energy (eV per cell): -80.9

a b c (Å): 6.3411 3.6607 10.6232
angles (deg): 90.00 101.55 90.00
Space group Cm (No. 8)
Asymmetric unit:
1 Ho 0.0000 0.0000 0.0000 x2
2 Ho 0.0016 0.5000 0.5082 x2
3 Cl 0.2270 0.5000 0.1799 x2
4 Cl 0.3950 0.5000 0.6872 x2
5 O 0.1512 0.0000 0.4573 x2
6 O 0.3162 0.0000 0.9490 x2

Record 22
# Ho3OsCl2O6

Crystalline Ho3OsCl2O6 at its relaxed geometry (PBE-GGA, the Alexandria database).

Total magnetic moment (μB/cell): 6.0
Energy (eV per cell): -170.1

a b c (Å): 11.3243 6.4993 5.4832
angles (deg): 90.00 99.69 90.00
Space group C2/m (No. 12)
Asymmetric unit:
1 Ho 0.0000 0.0000 0.0000 x2
2 Ho 0.2500 0.2500 0.5000 x4
3 Os 0.0000 0.5000 0.5000 x2
4 Cl 0.2087 0.0000 0.8530 x4
5 O 0.0578 0.2614 0.2966 x8
6 O 0.1681 0.5000 0.6726 x4